{"formula": "Sr2Ac6CoIr", "functional": "GGA-PBE", "state": "optimized geometry", "cell": [[-2.396, -3.328, 7.300], [3.153, -7.397, -2.332], [4.842, 6.831, -0.096]], "species": ["Ac", "Ac", "Ac", "Co", "Ac", "Ac", "Sr", "Ac", "Sr", "Ir"], "frac_coords": [[0.754, 0.247, 0.000], [0.754, 0.754, 0.507], [0.246, 0.754, 0.000], [0.000, 0.000, 0.000], [0.753, 0.754, 0.000], [0.246, 0.247, 0.000], [0.750, 0.250, 0.500], [0.246, 0.247, 0.492], [0.250, 0.750, 0.500], [0.500, 0.500, 0.000]], "m_tot_mub_per_fu": 0.01, "e_form_kj_per_mol_atoms": -16.1}